Entry 1:
Compound: CaGdGaHg
Source: Alexandria via LeMat-Bulk
Functional: GGA-PBE
Structure: relaxed Values from VASP.

DFT formation energy = -0.5267 eV per atom
D(E_F) = 2.6 states/eV/f.u.
space-group type = F-43m

Quantum ESPRESSO input file:
```
&SYSTEM
  ibrav = 0, nat = 4, ntyp = 4
/
ATOMIC_SPECIES
Ca 40.08 Ca.upf
Gd 157.25 Gd.upf
Ga 69.72 Ga.upf
Hg 200.59 Hg.upf
ATOMIC_POSITIONS crystal
Ca 0.000 0.000 0.000
Gd 0.500 0.500 0.500
Ga 0.250 0.250 0.250
Hg 0.750 0.750 0.750
CELL_PARAMETERS angstrom
0.000 3.709 3.709
3.709 0.000 3.709
3.709 3.709 0.000
```

Entry 2:
Compound: AcCrP3
Source: Alexandria via LeMat-Bulk
Functional: GGA-PBE
Structure: relaxed Values from VASP.

DFT formation energy = -0.4517 eV per atom
D(E_F) = 4.6 states/eV/f.u.
space-group type = Pm-3m

Quantum ESPRESSO input file:
```
&SYSTEM
  ibrav = 0, nat = 5, ntyp = 3
/
ATOMIC_SPECIES
Ac 227.00 Ac.upf
Cr 52.00 Cr.upf
P 30.97 P.upf
ATOMIC_POSITIONS crystal
Ac 0.000 0.000 0.000
Cr 0.500 0.500 0.500
P 0.000 0.500 0.500
P 0.500 0.000 0.500
P 0.500 0.500 0.000
CELL_PARAMETERS angstrom
4.626 0.000 0.000
0.000 4.626 0.000
0.000 0.000 4.626
```

Entry 3:
Compound: Rb5Tl3Br12
Source: Alexandria via LeMat-Bulk
Functional: GGA-PBE
Structure: relaxed Values from VASP.

formation energy from raw total energies = -0.923 eV/atom
D(E_F) = 28.3 states/eV/f.u.
space-group type = Ia-3d

Quantum ESPRESSO input file:
```
&SYSTEM
  ibrav = 0, nat = 80, ntyp = 3
/
ATOMIC_SPECIES
Rb 85.47 Rb.upf
Tl 204.38 Tl.upf
Br 79.90 Br.upf
ATOMIC_POSITIONS crystal
Rb 0.000 0.000 0.000
Rb 0.000 0.000 0.500
Rb 0.000 0.500 0.000
Rb 0.000 0.500 0.500
Rb 0.125 0.750 0.875
Rb 0.125 0.875 0.250
Rb 0.250 0.125 0.875
Rb 0.250 0.625 0.375
Rb 0.375 0.250 0.625
Rb 0.375 0.625 0.750
Rb 0.500 0.000 0.000
Rb 0.500 0.000 0.500
Rb 0.500 0.500 0.000
Rb 0.500 0.500 0.500
Rb 0.625 0.375 0.250
Rb 0.625 0.750 0.375
Rb 0.750 0.375 0.625
Rb 0.750 0.875 0.125
Rb 0.875 0.125 0.750
Rb 0.875 0.250 0.125
Tl 0.125 0.250 0.375
Tl 0.125 0.375 0.750
Tl 0.250 0.375 0.125
Tl 0.250 0.875 0.625
Tl 0.375 0.125 0.250
Tl 0.375 0.750 0.125
Tl 0.625 0.250 0.875
Tl 0.625 0.875 0.750
Tl 0.750 0.125 0.375
Tl 0.750 0.625 0.875
Tl 0.875 0.625 0.250
Tl 0.875 0.750 0.625
Br 0.050 0.626 0.381
Br 0.050 0.924 0.669
Br 0.076 0.245 0.126
Br 0.076 0.331 0.950
Br 0.119 0.745 0.669
Br 0.119 0.874 0.450
Br 0.126 0.076 0.245
Br 0.126 0.550 0.881
Br 0.169 0.245 0.619
Br 0.169 0.424 0.550
Br 0.245 0.126 0.076
Br 0.245 0.619 0.169
Br 0.255 0.331 0.881
Br 0.255 0.424 0.374
Br 0.331 0.881 0.255
Br 0.331 0.950 0.076
Br 0.374 0.255 0.424
Br 0.374 0.619 0.950
Br 0.381 0.050 0.626
Br 0.381 0.831 0.755
Br 0.424 0.374 0.255
Br 0.424 0.550 0.169
Br 0.450 0.119 0.874
Br 0.450 0.831 0.576
Br 0.550 0.169 0.424
Br 0.550 0.881 0.126
Br 0.576 0.450 0.831
Br 0.576 0.626 0.745
Br 0.619 0.169 0.245
Br 0.619 0.950 0.374
Br 0.626 0.381 0.050
Br 0.626 0.745 0.576
Br 0.669 0.050 0.924
Br 0.669 0.119 0.745
Br 0.745 0.576 0.626
Br 0.745 0.669 0.119
Br 0.755 0.381 0.831
Br 0.755 0.874 0.924
Br 0.831 0.576 0.450
Br 0.831 0.755 0.381
Br 0.874 0.450 0.119
Br 0.874 0.924 0.755
Br 0.881 0.126 0.550
Br 0.881 0.255 0.331
Br 0.924 0.669 0.050
Br 0.924 0.755 0.874
Br 0.950 0.076 0.331
Br 0.950 0.374 0.619
CELL_PARAMETERS angstrom
-9.595 9.595 9.595
9.595 -9.595 9.595
9.595 9.595 -9.595
```

Entry 4:
Compound: TaIn2Os
Source: Alexandria via LeMat-Bulk
Functional: GGA-PBE
Structure: relaxed Values from VASP.

DFT formation energy = 0.3935 eV per atom
energy above the lowest structure with this stoichiometry = 358.2 meV per atom
D(E_F) = 2.0 states/eV/f.u.
space-group type = C2/m

Quantum ESPRESSO input file:
```
&SYSTEM
  ibrav = 0, nat = 4, ntyp = 3
/
ATOMIC_SPECIES
Ta 180.95 Ta.upf
In 114.82 In.upf
Os 190.23 Os.upf
ATOMIC_POSITIONS crystal
Ta 0.000 0.000 0.000
In 0.242 0.242 0.741
In 0.758 0.758 0.259
Os 0.500 0.500 0.500
CELL_PARAMETERS angstrom
4.897 -1.570 0.000
4.897 1.570 0.000
-1.103 0.000 4.832
```

Entry 5:
Compound: TbPr3Ho7
Source: Alexandria via LeMat-Bulk
Functional: GGA-PBE
Structure: relaxed Values from VASP.

DFT formation energy = 0.1234 eV per atom
energy above the lowest structure with this stoichiometry = 0.0 meV per atom
D(E_F) = 17.4 states/eV/f.u.
space-group type = P-1

Quantum ESPRESSO input file:
```
&SYSTEM
  ibrav = 0, nat = 11, ntyp = 3
/
ATOMIC_SPECIES
Tb 158.93 Tb.upf
Pr 140.91 Pr.upf
Ho 164.93 Ho.upf
ATOMIC_POSITIONS crystal
Tb 0.000 0.000 0.000
Pr 0.302 0.438 0.336
Pr 0.500 0.000 0.500
Pr 0.698 0.562 0.664
Ho 0.000 0.500 0.000
Ho 0.061 0.208 0.645
Ho 0.221 0.725 0.714
Ho 0.487 0.233 0.920
Ho 0.513 0.767 0.080
Ho 0.779 0.275 0.286
Ho 0.939 0.792 0.355
CELL_PARAMETERS angstrom
6.527 0.000 0.000
-0.611 6.668 0.000
-1.259 -1.525 8.400
```

Entry 6:
Compound: HfMgS2N
Source: Alexandria via LeMat-Bulk
Functional: GGA-PBE
Structure: relaxed Values from VASP.

formation energy from raw total energies = -0.526 eV/atom
energy above the lowest structure with this stoichiometry = 0.0 meV per atom
D(E_F) = 2.2 states/eV/f.u.
space-group type = P4/mmm

Quantum ESPRESSO input file:
```
&SYSTEM
  ibrav = 0, nat = 5, ntyp = 4
/
ATOMIC_SPECIES
Hf 178.49 Hf.upf
Mg 24.30 Mg.upf
S 32.06 S.upf
N 14.01 N.upf
ATOMIC_POSITIONS crystal
Hf 0.000 0.000 0.000
Mg 0.500 0.500 0.500
S 0.000 0.500 0.000
S 0.500 0.000 0.000
N 0.000 0.000 0.500
CELL_PARAMETERS angstrom
5.009 0.000 0.000
0.000 5.009 0.000
0.000 0.000 4.069
```

Entry 7:
Compound: ScTa2Be
Source: Alexandria via LeMat-Bulk
Functional: GGA-PBE
Structure: relaxed Values from VASP.

DFT formation energy = 0.2183 eV per atom
D(E_F) = 2.2 states/eV/f.u.
space-group type = Cm

Quantum ESPRESSO input file:
```
&SYSTEM
  ibrav = 0, nat = 4, ntyp = 3
/
ATOMIC_SPECIES
Sc 44.96 Sc.upf
Ta 180.95 Ta.upf
Be 9.01 Be.upf
ATOMIC_POSITIONS crystal
Sc 0.000 0.000 0.000
Ta 0.556 0.556 0.554
Ta 0.783 0.783 0.356
Be 0.256 0.256 0.891
CELL_PARAMETERS angstrom
5.033 -1.503 0.000
5.033 1.503 0.000
-1.914 0.000 4.545
```

Entry 8:
Compound: Li2Al3Ag4
Source: Alexandria via LeMat-Bulk
Functional: GGA-PBE
Structure: relaxed Values from VASP.

DFT formation energy = -0.1202 eV per atom
energy above the lowest structure with this stoichiometry = 68.7 meV per atom
D(E_F) = 2.1 states/eV/f.u.
space-group type = C2/c

Quantum ESPRESSO input file:
```
&SYSTEM
  ibrav = 0, nat = 18, ntyp = 3
/
ATOMIC_SPECIES
Li 6.94 Li.upf
Al 26.98 Al.upf
Ag 107.87 Ag.upf
ATOMIC_POSITIONS crystal
Li 0.090 0.351 0.376
Li 0.351 0.090 0.876
Li 0.649 0.910 0.124
Li 0.910 0.649 0.624
Al 0.128 0.872 0.750
Al 0.209 0.462 0.939
Al 0.462 0.209 0.439
Al 0.538 0.791 0.561
Al 0.791 0.538 0.061
Al 0.872 0.128 0.250
Ag 0.007 0.231 0.823
Ag 0.231 0.007 0.323
Ag 0.305 0.563 0.478
Ag 0.437 0.695 0.022
Ag 0.563 0.305 0.978
Ag 0.695 0.437 0.522
Ag 0.769 0.993 0.677
Ag 0.993 0.769 0.177
CELL_PARAMETERS angstrom
6.471 -4.759 0.000
6.471 4.759 0.000
-0.589 0.000 4.760
```

Which of these has the highest D(E_F)?
Rb5Tl3Br12

Repeat the first record exactly.
Compound: CaGdGaHg
Source: Alexandria via LeMat-Bulk
Functional: GGA-PBE
Structure: relaxed Values from VASP.

DFT formation energy = -0.5267 eV per atom
D(E_F) = 2.6 states/eV/f.u.
space-group type = F-43m

Quantum ESPRESSO input file:
```
&SYSTEM
  ibrav = 0, nat = 4, ntyp = 4
/
ATOMIC_SPECIES
Ca 40.08 Ca.upf
Gd 157.25 Gd.upf
Ga 69.72 Ga.upf
Hg 200.59 Hg.upf
ATOMIC_POSITIONS crystal
Ca 0.000 0.000 0.000
Gd 0.500 0.500 0.500
Ga 0.250 0.250 0.250
Hg 0.750 0.750 0.750
CELL_PARAMETERS angstrom
0.000 3.709 3.709
3.709 0.000 3.709
3.709 3.709 0.000
```

What did the sixth record say?
Compound: HfMgS2N
Source: Alexandria via LeMat-Bulk
Functional: GGA-PBE
Structure: relaxed Values from VASP.

formation energy from raw total energies = -0.526 eV/atom
energy above the lowest structure with this stoichiometry = 0.0 meV per atom
D(E_F) = 2.2 states/eV/f.u.
space-group type = P4/mmm

Quantum ESPRESSO input file:
```
&SYSTEM
  ibrav = 0, nat = 5, ntyp = 4
/
ATOMIC_SPECIES
Hf 178.49 Hf.upf
Mg 24.30 Mg.upf
S 32.06 S.upf
N 14.01 N.upf
ATOMIC_POSITIONS crystal
Hf 0.000 0.000 0.000
Mg 0.500 0.500 0.500
S 0.000 0.500 0.000
S 0.500 0.000 0.000
N 0.000 0.000 0.500
CELL_PARAMETERS angstrom
5.009 0.000 0.000
0.000 5.009 0.000
0.000 0.000 4.069
```